# 1
The following is a PBE calculation of LiUInF6 after structural relaxation, from the Alexandria database.

Structure (CIF):
```
data_LiUInF6
_chemical_formula_sum 'Li2 U2 In2 F12'
_symmetry_space_group_name_H-M 'P -3 1 c'
_symmetry_Int_Tables_number 163
_symmetry_space_group_name_Hall '-P 3 2c'
_cell_length_a 5.7447
_cell_length_b 5.7447
_cell_length_c 11.8518
_cell_angle_alpha 90.00
_cell_angle_beta 90.00
_cell_angle_gamma 120.00
loop_
_atom_site_label
_atom_site_type_symbol
_atom_site_fract_x
_atom_site_fract_y
_atom_site_fract_z
_atom_site_occupancy
Li1 Li 0.3333 0.6667 0.2500 1
U1 U 0.3333 0.6667 0.7500 1
In1 In 0.0000 0.0000 0.0000 1
F1 F 0.0097 0.3757 0.1523 1
```

Values from the calculation:
- density of states at the Fermi level (states/eV per atom) = 0.859
- formation energy from raw total energies (eV per atom) = -3.009
- crystal system = trigonal

# 2
The following is a PBE calculation of LiY2InF after structural relaxation, from the Alexandria database.

Structure (CIF):
```
data_LiY2InF
_chemical_formula_sum 'Li1 Y2 In1 F1'
_symmetry_space_group_name_H-M 'P 4/m m m'
_symmetry_Int_Tables_number 123
_symmetry_space_group_name_Hall '-P 4 2'
_cell_length_a 5.0443
_cell_length_b 5.0443
_cell_length_c 4.0341
_cell_angle_alpha 90.00
_cell_angle_beta 90.00
_cell_angle_gamma 90.00
loop_
_atom_site_label
_atom_site_type_symbol
_atom_site_fract_x
_atom_site_fract_y
_atom_site_fract_z
_atom_site_occupancy
Li1 Li 0.0000 0.0000 0.0000 1
Y1 Y 0.0000 0.5000 0.5000 1
In1 In 0.5000 0.5000 0.0000 1
F1 F 0.0000 0.0000 0.5000 1
```

Values from the calculation:
- density of states at the Fermi level (states/eV per atom) = 0.676
- formation energy from raw total energies (eV per atom) = -1.225
- crystal system = tetragonal

# 3
The following is a PBE calculation of Li4ZnIn2F12 after structural relaxation, from the Alexandria database.

Structure (CIF):
```
data_Li4ZnIn2F12
_chemical_formula_sum 'Li8 Zn2 In4 F24'
_symmetry_space_group_name_H-M 'P n c 2'
_symmetry_Int_Tables_number 30
_symmetry_space_group_name_Hall 'P 2 -2bc'
_cell_length_a 5.0765
_cell_length_b 4.8560
_cell_length_c 18.0744
_cell_angle_alpha 90.00
_cell_angle_beta 90.00
_cell_angle_gamma 90.00
loop_
_atom_site_label
_atom_site_type_symbol
_atom_site_fract_x
_atom_site_fract_y
_atom_site_fract_z
_atom_site_occupancy
Li1 Li 0.0000 0.0000 0.0000 1
Li2 Li 0.0000 0.0000 0.1543 1
Li3 Li 0.0000 0.0000 0.4790 1
Li4 Li 0.5000 0.0000 0.4113 1
Zn1 Zn 0.5000 0.0000 0.2462 1
In1 In 0.0000 0.0000 0.8251 1
In2 In 0.5000 0.0000 0.5855 1
F1 F 0.1594 0.2322 0.9138 1
F2 F 0.1658 0.2415 0.0754 1
F3 F 0.1695 0.2428 0.2432 1
F4 F 0.3108 0.7058 0.9960 1
F5 F 0.3282 0.7334 0.6643 1
F6 F 0.3325 0.7309 0.8286 1
```

Values from the calculation:
- density of states at the Fermi level (states/eV per atom) = 0.000
- formation energy from raw total energies (eV per atom) = -2.672
- crystal system = orthorhombic

# 4
The following is a PBE calculation of MgIn2F after structural relaxation, from the Alexandria database.

Structure (CIF):
```
data_MgIn2F
_chemical_formula_sum 'Mg4 In8 F4'
_symmetry_space_group_name_H-M 'I -4 2 d'
_symmetry_Int_Tables_number 122
_symmetry_space_group_name_Hall 'I -4 2bw'
_cell_length_a 5.2733
_cell_length_b 5.2733
_cell_length_c 15.4755
_cell_angle_alpha 90.00
_cell_angle_beta 90.00
_cell_angle_gamma 90.00
loop_
_atom_site_label
_atom_site_type_symbol
_atom_site_fract_x
_atom_site_fract_y
_atom_site_fract_z
_atom_site_occupancy
Mg1 Mg 0.0000 0.0000 0.0000 1
In1 In 0.1502 0.2500 0.6250 1
F1 F 0.0000 0.0000 0.5000 1
```

Values from the calculation:
- density of states at the Fermi level (states/eV per atom) = 0.455
- formation energy from raw total energies (eV per atom) = -0.586
- crystal system = tetragonal
- ΔE to the lowest computed polymorph (eV/atom) = 0.000

# 5
The following is a PBE calculation of MgIn3F after structural relaxation, from the Alexandria database.

Structure (CIF):
```
data_MgIn3F
_chemical_formula_sum 'Mg1 In3 F1'
_symmetry_space_group_name_H-M 'P m -3 m'
_symmetry_Int_Tables_number 221
_symmetry_space_group_name_Hall '-P 4 2 3'
_cell_length_a 5.4995
_cell_length_b 5.4995
_cell_length_c 5.4995
_cell_angle_alpha 90.00
_cell_angle_beta 90.00
_cell_angle_gamma 90.00
loop_
_atom_site_label
_atom_site_type_symbol
_atom_site_fract_x
_atom_site_fract_y
_atom_site_fract_z
_atom_site_occupancy
Mg1 Mg 0.0000 0.0000 0.0000 1
In1 In 0.0000 0.0000 0.5000 1
F1 F 0.5000 0.5000 0.5000 1
```

Values from the calculation:
- density of states at the Fermi level (states/eV per atom) = 0.651
- formation energy from raw total energies (eV per atom) = -0.008
- crystal system = cubic
- ΔE to the lowest computed polymorph (eV/atom) = 0.468

# 6
The following is a PBE calculation of Mg3InF after structural relaxation, from the Alexandria database.

Structure (CIF):
```
data_Mg3InF
_chemical_formula_sum 'Mg3 In1 F1'
_symmetry_space_group_name_H-M 'P m -3 m'
_symmetry_Int_Tables_number 221
_symmetry_space_group_name_Hall '-P 4 2 3'
_cell_length_a 4.5879
_cell_length_b 4.5879
_cell_length_c 4.5879
_cell_angle_alpha 90.00
_cell_angle_beta 90.00
_cell_angle_gamma 90.00
loop_
_atom_site_label
_atom_site_type_symbol
_atom_site_fract_x
_atom_site_fract_y
_atom_site_fract_z
_atom_site_occupancy
Mg1 Mg 0.0000 0.0000 0.5000 1
In1 In 0.5000 0.5000 0.5000 1
F1 F 0.0000 0.0000 0.0000 1
```

Values from the calculation:
- density of states at the Fermi level (states/eV per atom) = 0.346
- formation energy from raw total energies (eV per atom) = -0.817
- crystal system = cubic
- ΔE to the lowest computed polymorph (eV/atom) = 0.000

# 7
The following is a PBE calculation of Mg3In2F8 after structural relaxation, from the Alexandria database.

Structure (CIF):
```
data_Mg3In2F8
_chemical_formula_sum 'Mg6 In4 F16'
_symmetry_space_group_name_H-M 'C 1 2/m 1'
_symmetry_Int_Tables_number 12
_symmetry_space_group_name_Hall '-C 2y'
_cell_length_a 14.5902
_cell_length_b 6.1520
_cell_length_c 5.3149
_cell_angle_alpha 90.00
_cell_angle_beta 107.76
_cell_angle_gamma 90.00
loop_
_atom_site_label
_atom_site_type_symbol
_atom_site_fract_x
_atom_site_fract_y
_atom_site_fract_z
_atom_site_occupancy
Mg1 Mg 0.0000 0.0000 0.0000 1
Mg2 Mg 0.0000 0.2550 0.5000 1
In1 In 0.1858 0.5000 0.1486 1
F1 F 0.0709 0.0000 0.3906 1
F2 F 0.0752 0.2339 0.8858 1
F3 F 0.0814 0.5000 0.4386 1
```

Values from the calculation:
- density of states at the Fermi level (states/eV per atom) = 0.000
- formation energy from raw total energies (eV per atom) = -2.949
- crystal system = monoclinic

# 8
The following is a PBE calculation of Mg2InF after structural relaxation, from the Alexandria database.

Structure (CIF):
```
data_Mg2InF
_chemical_formula_sum 'Mg8 In4 F4'
_symmetry_space_group_name_H-M 'I -4 2 d'
_symmetry_Int_Tables_number 122
_symmetry_space_group_name_Hall 'I -4 2bw'
_cell_length_a 6.6449
_cell_length_b 6.6449
_cell_length_c 7.3772
_cell_angle_alpha 90.00
_cell_angle_beta 90.00
_cell_angle_gamma 90.00
loop_
_atom_site_label
_atom_site_type_symbol
_atom_site_fract_x
_atom_site_fract_y
_atom_site_fract_z
_atom_site_occupancy
Mg1 Mg 0.1441 0.7500 0.1250 1
In1 In 0.0000 0.0000 0.5000 1
F1 F 0.0000 0.0000 0.0000 1
```

Values from the calculation:
- density of states at the Fermi level (states/eV per atom) = 0.215
- formation energy from raw total energies (eV per atom) = -1.059
- crystal system = tetragonal
- ΔE to the lowest computed polymorph (eV/atom) = 0.000

# 9
The following is a PBE calculation of Mg3InF after structural relaxation, from the Alexandria database.

Structure (CIF):
```
data_Mg3InF
_chemical_formula_sum 'Mg3 In1 F1'
_symmetry_space_group_name_H-M 'P m -3 m'
_symmetry_Int_Tables_number 221
_symmetry_space_group_name_Hall '-P 4 2 3'
_cell_length_a 5.3218
_cell_length_b 5.3218
_cell_length_c 5.3218
_cell_angle_alpha 90.00
_cell_angle_beta 90.00
_cell_angle_gamma 90.00
loop_
_atom_site_label
_atom_site_type_symbol
_atom_site_fract_x
_atom_site_fract_y
_atom_site_fract_z
_atom_site_occupancy
Mg1 Mg 0.0000 0.0000 0.5000 1
In1 In 0.0000 0.0000 0.0000 1
F1 F 0.5000 0.5000 0.5000 1
```

Values from the calculation:
- density of states at the Fermi level (states/eV per atom) = 0.000
- formation energy from raw total energies (eV per atom) = -0.239
- crystal system = cubic
- ΔE to the lowest computed polymorph (eV/atom) = 0.577

# 10
The following is a PBE calculation of MgIn2F after structural relaxation, from the Alexandria database.

Structure (CIF):
```
data_MgIn2F
_chemical_formula_sum 'Mg4 In8 F4'
_symmetry_space_group_name_H-M 'F m -3 m'
_symmetry_Int_Tables_number 225
_symmetry_space_group_name_Hall '-F 4 2 3'
_cell_length_a 7.0534
_cell_length_b 7.0534
_cell_length_c 7.0534
_cell_angle_alpha 90.00
_cell_angle_beta 90.00
_cell_angle_gamma 90.00
loop_
_atom_site_label
_atom_site_type_symbol
_atom_site_fract_x
_atom_site_fract_y
_atom_site_fract_z
_atom_site_occupancy
Mg1 Mg 0.0000 0.0000 0.0000 1
In1 In 0.2500 0.2500 0.2500 1
F1 F 0.0000 0.0000 0.5000 1
```

Values from the calculation:
- density of states at the Fermi level (states/eV per atom) = 0.614
- formation energy from raw total energies (eV per atom) = -0.534
- crystal system = cubic
- ΔE to the lowest computed polymorph (eV/atom) = 0.051